{
  "formula": "Pm12Al3As5",
  "functional": "PBE",
  "state": "relaxed",
  "e_form_kj_per_mol_fu": -1017,
  "crystal_system": "cubic",
  "lattice_angstrom": [[-8.7592, 8.7592, 8.7592], [8.7592, -8.7592, 8.7592], [8.7592, 8.7592, -8.7592]],
  "species": ["Pm", "Pm", "Pm", "Pm", "Pm", "Pm", "Pm", "Pm", "Pm", "Pm", "Pm", "Pm", "Pm", "Pm", "Pm", "Pm", "Pm", "Pm", "Pm", "Pm", "Pm", "Pm", "Pm", "Pm", "Pm", "Pm", "Pm", "Pm", "Pm", "Pm", "Pm", "Pm", "Pm", "Pm", "Pm", "Pm", "Pm", "Pm", "Pm", "Pm", "Pm", "Pm", "Pm", "Pm", "Pm", "Pm", "Pm", "Pm", "Al", "Al", "Al", "Al", "Al", "Al", "Al", "Al", "Al", "Al", "Al", "Al", "As", "As", "As", "As", "As", "As", "As", "As", "As", "As", "As", "As", "As", "As", "As", "As", "As", "As", "As", "As"],
  "fractional_positions": [[0.0473, 0.2194, 0.1308], [0.0473, 0.3279, 0.9165], [0.0835, 0.6308, 0.4114], [0.0835, 0.9527, 0.6721], [0.0886, 0.7194, 0.6721], [0.0886, 0.8692, 0.4165], [0.1308, 0.0473, 0.2194], [0.1308, 0.5835, 0.9114], [0.1721, 0.2194, 0.5886], [0.1721, 0.4527, 0.5835], [0.2194, 0.1308, 0.0473], [0.2194, 0.5886, 0.1721], [0.2806, 0.3279, 0.9114], [0.2806, 0.4527, 0.3692], [0.3279, 0.9114, 0.2806], [0.3279, 0.9165, 0.0473], [0.3692, 0.2806, 0.4527], [0.3692, 0.5886, 0.9165], [0.4114, 0.0835, 0.6308], [0.4114, 0.8279, 0.7806], [0.4165, 0.0886, 0.8692], [0.4165, 0.8279, 0.5473], [0.4527, 0.3692, 0.2806], [0.4527, 0.5835, 0.1721], [0.5473, 0.4165, 0.8279], [0.5473, 0.6308, 0.7194], [0.5835, 0.1721, 0.4527], [0.5835, 0.9114, 0.1308], [0.5886, 0.1721, 0.2194], [0.5886, 0.9165, 0.3692], [0.6308, 0.4114, 0.0835], [0.6308, 0.7194, 0.5473], [0.6721, 0.0835, 0.9527], [0.6721, 0.0886, 0.7194], [0.7194, 0.5473, 0.6308], [0.7194, 0.6721, 0.0886], [0.7806, 0.4114, 0.8279], [0.7806, 0.8692, 0.9527], [0.8279, 0.5473, 0.4165], [0.8279, 0.7806, 0.4114], [0.8692, 0.4165, 0.0886], [0.8692, 0.9527, 0.7806], [0.9114, 0.1308, 0.5835], [0.9114, 0.2806, 0.3279], [0.9165, 0.0473, 0.3279], [0.9165, 0.3692, 0.5886], [0.9527, 0.6721, 0.0835], [0.9527, 0.7806, 0.8692], [0.1250, 0.2500, 0.3750], [0.1250, 0.3750, 0.7500], [0.2500, 0.3750, 0.1250], [0.2500, 0.8750, 0.6250], [0.3750, 0.1250, 0.2500], [0.3750, 0.7500, 0.1250], [0.6250, 0.2500, 0.8750], [0.6250, 0.8750, 0.7500], [0.7500, 0.1250, 0.3750], [0.7500, 0.6250, 0.8750], [0.8750, 0.6250, 0.2500], [0.8750, 0.7500, 0.6250], [0.0000, 0.0000, 0.0000], [0.0000, 0.0000, 0.5000], [0.0000, 0.5000, 0.0000], [0.0000, 0.5000, 0.5000], [0.1250, 0.7500, 0.8750], [0.1250, 0.8750, 0.2500], [0.2500, 0.1250, 0.8750], [0.2500, 0.6250, 0.3750], [0.3750, 0.2500, 0.6250], [0.3750, 0.6250, 0.7500], [0.5000, 0.0000, 0.0000], [0.5000, 0.0000, 0.5000], [0.5000, 0.5000, 0.0000], [0.5000, 0.5000, 0.5000], [0.6250, 0.3750, 0.2500], [0.6250, 0.7500, 0.3750], [0.7500, 0.3750, 0.6250], [0.7500, 0.8750, 0.1250], [0.8750, 0.1250, 0.7500], [0.8750, 0.2500, 0.1250]]
}

***

{
  "formula": "Li2ScSiSe4",
  "functional": "PBE",
  "state": "relaxed",
  "crystal_system": "orthorhombic",
  "raw_formation_energy_ev_per_atom": -1.058,
  "lattice_angstrom": [[-3.7631, 3.8713, 5.4607], [3.7631, -3.8713, 5.4607], [3.7631, 3.8713, -5.4607]],
  "species": ["Li", "Li", "Li", "Li", "Sc", "Sc", "Si", "Si", "Se", "Se", "Se", "Se", "Se", "Se", "Se", "Se"],
  "fractional_positions": [[0.0000, 0.0000, 0.0000], [0.5000, 0.0000, 0.0000], [0.5000, 0.0000, 0.5000], [0.5000, 0.5000, 0.5000], [0.0000, 0.5000, 0.5000], [0.5000, 0.5000, 0.0000], [0.0000, 0.0000, 0.5000], [0.0000, 0.5000, 0.0000], [0.2327, 0.7479, 0.4848], [0.2369, 0.2521, 0.9848], [0.2376, 0.2374, 0.4998], [0.2376, 0.7378, 0.0002], [0.7624, 0.2622, 0.9998], [0.7624, 0.7626, 0.5002], [0.7631, 0.7479, 0.0152], [0.7673, 0.2521, 0.5152]]
}

***

{
  "formula": "Pr5Dy2HoTh",
  "functional": "PBE",
  "state": "relaxed",
  "e_form_kj_per_mol_fu": 121,
  "crystal_system": "orthorhombic",
  "lattice_angstrom": [[2.7246, -10.9122, 0.0000], [2.7246, 10.9122, 0.0000], [0.0000, 0.0000, 10.6632]],
  "species": ["Pr", "Pr", "Pr", "Pr", "Pr", "Pr", "Pr", "Pr", "Pr", "Pr", "Dy", "Dy", "Dy", "Dy", "Ho", "Ho", "Th", "Th"],
  "fractional_positions": [[0.0000, 0.0000, 0.0000], [0.0000, 0.0000, 0.5000], [0.1265, 0.8735, 0.7500], [0.2221, 0.7779, 0.0576], [0.2221, 0.7779, 0.4424], [0.4976, 0.5024, 0.2500], [0.5024, 0.4976, 0.7500], [0.7779, 0.2221, 0.5576], [0.7779, 0.2221, 0.9424], [0.8735, 0.1265, 0.2500], [0.3874, 0.6126, 0.5060], [0.3874, 0.6126, 0.9940], [0.6126, 0.3874, 0.0060], [0.6126, 0.3874, 0.4940], [0.1019, 0.8981, 0.2500], [0.8981, 0.1019, 0.7500], [0.2878, 0.7122, 0.7500], [0.7122, 0.2878, 0.2500]]
}

***

{
  "formula": "Ce3Pu4Ir4",
  "functional": "PBE",
  "state": "relaxed",
  "e_form_kj_per_mol_fu": -274,
  "crystal_system": "orthorhombic",
  "lattice_angstrom": [[-1.6736, 5.0998, 6.7407], [1.6736, -5.0998, 6.7407], [1.6736, 5.0998, -6.7407]],
  "species": ["Ce", "Ce", "Ce", "Pu", "Pu", "Pu", "Pu", "Ir", "Ir", "Ir", "Ir"],
  "fractional_positions": [[0.0000, 0.0000, 0.0000], [0.3911, 0.8911, 0.5000], [0.6089, 0.1089, 0.5000], [0.0317, 0.3076, 0.7240], [0.4164, 0.6924, 0.7240], [0.5836, 0.3076, 0.2760], [0.9683, 0.6924, 0.2760], [0.2037, 0.2037, 0.0000], [0.2770, 0.5000, 0.7770], [0.7230, 0.5000, 0.2230], [0.7963, 0.7963, 0.0000]]
}

***

{
  "formula": "Dy4Er3In",
  "functional": "PBE",
  "state": "relaxed",
  "e_form_kj_per_mol_fu": -81,
  "crystal_system": "orthorhombic",
  "lattice_angstrom": [[11.1290, 0.0000, 0.0000], [0.0000, 6.9882, 0.0000], [0.0000, 0.0000, 6.1296]],
  "species": ["Dy", "Dy", "Dy", "Dy", "Dy", "Dy", "Dy", "Dy", "Er", "Er", "Er", "Er", "Er", "Er", "In", "In"],
  "fractional_positions": [[0.0000, 0.1281, 0.0000], [0.0000, 0.8681, 0.4678], [0.2376, 0.8725, 0.8245], [0.2624, 0.1275, 0.3245], [0.5000, 0.1319, 0.9678], [0.5000, 0.8719, 0.5000], [0.7376, 0.1275, 0.3245], [0.7624, 0.8725, 0.8245], [0.0000, 0.3704, 0.4733], [0.2440, 0.3834, 0.8042], [0.2560, 0.6166, 0.3042], [0.5000, 0.6296, 0.9733], [0.7440, 0.6166, 0.3042], [0.7560, 0.3834, 0.8042], [0.0000, 0.6190, 0.9825], [0.5000, 0.3810, 0.4825]]
}

***

{
  "formula": "ZnCrRe2",
  "functional": "PBE",
  "state": "relaxed",
  "e_form_kj_per_mol_fu": 67,
  "crystal_system": "orthorhombic",
  "lattice_angstrom": [[-1.5121, 2.1741, 4.2914], [1.5121, -2.1741, 4.2914], [1.5121, 2.1741, -4.2914]],
  "species": ["Zn", "Cr", "Re", "Re"],
  "fractional_positions": [[0.0000, 0.0000, 0.0000], [0.5000, 0.5000, 0.0000], [0.2622, 0.7622, 0.5000], [0.7378, 0.2378, 0.5000]]
}

***

{
  "formula": "RbHgB2As",
  "functional": "PBE",
  "state": "relaxed",
  "e_form_kj_per_mol_fu": 1284,
  "crystal_system": "tetragonal",
  "lattice_angstrom": [[5.1096, 0.0000, 0.0000], [0.0000, 5.1096, 0.0000], [0.0000, 0.0000, 6.1671]],
  "species": ["Rb", "Hg", "B", "B", "As"],
  "fractional_positions": [[0.0000, 0.0000, 0.0000], [0.5000, 0.5000, 0.5000], [0.0000, 0.5000, 0.0000], [0.5000, 0.0000, 0.0000], [0.0000, 0.0000, 0.5000]]
}

***

{
  "formula": "Hf2ZrBe2Co5",
  "functional": "PBE",
  "state": "relaxed",
  "e_form_kj_per_mol_fu": -425,
  "crystal_system": "tetragonal",
  "lattice_angstrom": [[8.9231, 0.0000, 0.0000], [0.0000, 8.9231, 0.0000], [0.0000, 0.0000, 3.2188]],
  "species": ["Hf", "Hf", "Hf", "Hf", "Zr", "Zr", "Be", "Be", "Be", "Be", "Co", "Co", "Co", "Co", "Co", "Co", "Co", "Co", "Co", "Co"],
  "fractional_positions": [[0.1752, 0.3248, 0.0000], [0.3248, 0.8248, 0.0000], [0.6752, 0.1752, 0.0000], [0.8248, 0.6752, 0.0000], [0.0000, 0.0000, 0.0000], [0.5000, 0.5000, 0.0000], [0.1171, 0.6171, 0.0000], [0.3829, 0.1171, 0.0000], [0.6171, 0.8829, 0.0000], [0.8829, 0.3829, 0.0000], [0.0000, 0.5000, 0.5000], [0.0702, 0.7776, 0.5000], [0.2224, 0.0702, 0.5000], [0.2776, 0.5702, 0.5000], [0.4298, 0.2776, 0.5000], [0.5000, 0.0000, 0.5000], [0.5702, 0.7224, 0.5000], [0.7224, 0.4298, 0.5000], [0.7776, 0.9298, 0.5000], [0.9298, 0.2224, 0.5000]]
}

***

{
  "formula": "Cd2AgP",
  "functional": "PBE",
  "state": "relaxed",
  "e_form_kj_per_mol_fu": 70,
  "crystal_system": "tetragonal",
  "lattice_angstrom": [[4.3697, 0.0000, 0.0000], [0.0000, 4.3697, 0.0000], [0.0000, 0.0000, 4.0918]],
  "species": ["Cd", "Cd", "Ag", "P"],
  "fractional_positions": [[0.0000, 0.5000, 0.0000], [0.5000, 0.0000, 0.0000], [0.0000, 0.0000, 0.5000], [0.5000, 0.5000, 0.5000]]
}

***

{
  "formula": "Ba2AuF",
  "functional": "PBE",
  "state": "relaxed",
  "crystal_system": "cubic",
  "raw_formation_energy_ev_per_atom": -1.381,
  "de_polymorph_ev_per_atom": 0.283,
  "lattice_angstrom": [[0.0000, 3.9273, 3.9273], [3.9273, 0.0000, 3.9273], [3.9273, 3.9273, 0.0000]],
  "species": ["Ba", "Ba", "Au", "F"],
  "fractional_positions": [[0.2500, 0.2500, 0.2500], [0.7500, 0.7500, 0.7500], [0.0000, 0.0000, 0.0000], [0.5000, 0.5000, 0.5000]]
}

***

{
  "formula": "Na3TeC",
  "functional": "PBE",
  "state": "relaxed",
  "crystal_system": "cubic",
  "raw_formation_energy_ev_per_atom": 0.413,
  "de_polymorph_ev_per_atom": 0.000,
  "lattice_angstrom": [[4.9862, 0.0000, 0.0000], [0.0000, 4.9862, 0.0000], [0.0000, 0.0000, 4.9862]],
  "species": ["Na", "Na", "Na", "Te", "C"],
  "fractional_positions": [[0.0000, 0.0000, 0.5000], [0.0000, 0.5000, 0.0000], [0.5000, 0.0000, 0.0000], [0.5000, 0.5000, 0.5000], [0.0000, 0.0000, 0.0000]]
}

***

{
  "formula": "HfIn2Cu",
  "functional": "PBE",
  "state": "relaxed",
  "e_form_kj_per_mol_fu": -9,
  "crystal_system": "tetragonal",
  "lattice_angstrom": [[3.1935, 0.0000, 0.0000], [0.0000, 3.1935, 0.0000], [0.0000, 0.0000, 7.6431]],
  "species": ["Hf", "In", "In", "Cu"],
  "fractional_positions": [[0.0000, 0.0000, 0.0000], [0.5000, 0.5000, 0.2813], [0.5000, 0.5000, 0.7187], [0.0000, 0.0000, 0.5000]]
}

***

{
  "formula": "BaOsF2",
  "functional": "PBE",
  "state": "relaxed",
  "crystal_system": "trigonal",
  "raw_formation_energy_ev_per_atom": -0.889,
  "de_polymorph_ev_per_atom": 0.000,
  "lattice_angstrom": [[1.6116, 0.9305, 7.9043], [-1.6116, 0.9305, 7.9043], [0.0000, -1.8609, 7.9043]],
  "species": ["Ba", "Os", "F", "F"],
  "fractional_positions": [[0.0000, 0.0000, 0.0000], [0.5000, 0.5000, 0.5000], [0.4125, 0.4125, 0.4125], [0.5875, 0.5875, 0.5875]]
}

***

{
  "formula": "Mg2ScBeS",
  "functional": "PBE",
  "state": "relaxed",
  "crystal_system": "tetragonal",
  "raw_formation_energy_ev_per_atom": 0.003,
  "lattice_angstrom": [[4.7114, 0.0000, 0.0000], [0.0000, 4.7114, 0.0000], [0.0000, 0.0000, 4.8303]],
  "species": ["Mg", "Mg", "Sc", "Be", "S"],
  "fractional_positions": [[0.0000, 0.5000, 0.0000], [0.5000, 0.0000, 0.0000], [0.0000, 0.0000, 0.5000], [0.5000, 0.5000, 0.5000], [0.0000, 0.0000, 0.0000]]
}

***

{
  "formula": "MgTlBr2",
  "functional": "PBE",
  "state": "relaxed",
  "crystal_system": "trigonal",
  "raw_formation_energy_ev_per_atom": -0.701,
  "de_polymorph_ev_per_atom": 0.279,
  "lattice_angstrom": [[2.0013, 1.1554, 8.8738], [-2.0013, 1.1554, 8.8738], [0.0000, -2.3109, 8.8738]],
  "species": ["Mg", "Tl", "Br", "Br"],
  "fractional_positions": [[0.0000, 0.0000, 0.0000], [0.7460, 0.7460, 0.7460], [0.2813, 0.2813, 0.2813], [0.4857, 0.4857, 0.4857]]
}

***

{
  "formula": "CeErHg4",
  "functional": "PBE",
  "state": "relaxed",
  "e_form_kj_per_mol_fu": -206,
  "crystal_system": "monoclinic",
  "de_polymorph_ev_per_atom": 0.000,
  "lattice_angstrom": [[3.4034, 0.0000, 0.0000], [0.0000, 5.0163, 0.0000], [-0.0072, 0.0000, 8.6926]],
  "species": ["Ce", "Er", "Hg", "Hg", "Hg", "Hg"],
  "fractional_positions": [[0.0000, 0.0000, 0.0000], [0.0000, 0.5000, 0.5000], [0.4983, 0.0000, 0.6631], [0.4988, 0.5000, 0.1711], [0.5012, 0.5000, 0.8289], [0.5017, 0.0000, 0.3369]]
}

***

{
  "formula": "Nd3OsBr2",
  "functional": "PBE",
  "state": "relaxed",
  "crystal_system": "orthorhombic",
  "raw_formation_energy_ev_per_atom": -0.852,
  "de_polymorph_ev_per_atom": 0.000,
  "lattice_angstrom": [[-2.0456, 2.9579, 7.4086], [2.0456, -2.9579, 7.4086], [2.0456, 2.9579, -7.4086]],
  "species": ["Nd", "Nd", "Nd", "Os", "Br", "Br"],
  "fractional_positions": [[0.0000, 0.0000, 0.0000], [0.3738, 0.3738, 0.0000], [0.6262, 0.6262, 0.0000], [0.5000, 0.0000, 0.5000], [0.1848, 0.6848, 0.5000], [0.8152, 0.3152, 0.5000]]
}

***

{
  "formula": "CaZr2Pb",
  "functional": "PBE",
  "state": "relaxed",
  "e_form_kj_per_mol_fu": 57,
  "crystal_system": "cubic",
  "lattice_angstrom": [[0.0000, 3.7071, 3.7071], [3.7071, 0.0000, 3.7071], [3.7071, 3.7071, 0.0000]],
  "species": ["Ca", "Zr", "Zr", "Pb"],
  "fractional_positions": [[0.0000, 0.0000, 0.0000], [0.5000, 0.5000, 0.5000], [0.7500, 0.7500, 0.7500], [0.2500, 0.2500, 0.2500]]
}

***

{
  "formula": "TcPt2S",
  "functional": "PBE",
  "state": "relaxed",
  "crystal_system": "cubic",
  "raw_formation_energy_ev_per_atom": 0.567,
  "de_polymorph_ev_per_atom": 0.016,
  "lattice_angstrom": [[0.0000, 3.1568, 3.1568], [3.1568, 0.0000, 3.1568], [3.1568, 3.1568, 0.0000]],
  "species": ["Tc", "Pt", "Pt", "S"],
  "fractional_positions": [[0.0000, 0.0000, 0.0000], [0.2500, 0.2500, 0.2500], [0.7500, 0.7500, 0.7500], [0.5000, 0.5000, 0.5000]]
}

***

{
  "formula": "BeCuRu2",
  "functional": "PBE",
  "state": "relaxed",
  "e_form_kj_per_mol_fu": 32,
  "crystal_system": "orthorhombic",
  "lattice_angstrom": [[2.7062, 0.0000, 0.0000], [0.0000, 3.6001, 0.0000], [0.0000, 0.0000, 5.1395]],
  "species": ["Be", "Cu", "Ru", "Ru"],
  "fractional_positions": [[0.0000, 0.0000, 0.0000], [0.5000, 0.5000, 0.2113], [0.0000, 0.0000, 0.4966], [0.5000, 0.5000, 0.7269]]
}

***

Number 1: volume 2688.19 Å³ per cell, DOS(E_F) 0.597 states/eV/atom. Number 2: volume 318.21 Å³ per cell, DOS(E_F) 0.181 states/eV/atom. Number 3: volume 634.06 Å³ per cell, DOS(E_F) 1.414 states/eV/atom. Number 4: volume 230.13 Å³ per cell, DOS(E_F) 2.430 states/eV/atom. Number 5: volume 476.71 Å³ per cell, DOS(E_F) 1.303 states/eV/atom. Number 6: volume 56.43 Å³ per cell, DOS(E_F) 0.667 states/eV/atom. Number 7: volume 161.01 Å³ per cell, DOS(E_F) 1.093 states/eV/atom. Number 8: volume 256.29 Å³ per cell, DOS(E_F) 0.491 states/eV/atom. Number 9: volume 78.13 Å³ per cell, DOS(E_F) 0.258 states/eV/atom. Number 10: volume 121.15 Å³ per cell, DOS(E_F) 0.943 states/eV/atom. Number 11: volume 123.97 Å³ per cell, DOS(E_F) 0.000 states/eV/atom. Number 12: volume 77.95 Å³ per cell, DOS(E_F) 0.564 states/eV/atom. Number 13: volume 71.12 Å³ per cell, DOS(E_F) 0.781 states/eV/atom. Number 14: volume 107.22 Å³ per cell, DOS(E_F) 0.696 states/eV/atom. Number 15: volume 123.12 Å³ per cell, DOS(E_F) 0.337 states/eV/atom. Number 16: volume 148.41 Å³ per cell, DOS(E_F) 1.263 states/eV/atom. Number 17: volume 179.31 Å³ per cell, DOS(E_F) 0.808 states/eV/atom. Number 18: volume 101.89 Å³ per cell, DOS(E_F) 1.115 states/eV/atom. Number 19: volume 62.92 Å³ per cell, DOS(E_F) 0.725 states/eV/atom. Number 20: volume 50.07 Å³ per cell, DOS(E_F) 0.464 states/eV/atom.